1.
Pr8Mg2Cd | PBE | optimized geometry

Results
- DFT formation energy: -42.6 meV per atom

Cell: 17.7612 5.1323 8.2969 Å, 90.00 109.88 90.00°
With the nearest neighbours (Å) after each atom.
Space group C2/m (No. 12)
Inequivalent atoms, fractional coordinates:
Pr (0.0539, 0.0000, 0.2261) [4 per cell]  1 Mg 3.42, 9 Pr 3.47-3.68, 2 Cd 3.76
Pr (0.0933, 0.5000, 0.9495) [4 per cell]  3 Mg 3.47-3.48, 1 Cd 3.53, 8 Pr 3.59-3.81
Pr (0.1371, 0.0000, 0.6913) [4 per cell]  3 Mg 3.45-3.49, 2 Cd 3.52, 7 Pr 3.56-3.74
Pr (0.1803, 0.5000, 0.4377) [4 per cell]  1 Mg 3.39, 1 Cd 3.41, 7 Pr 3.47-3.74
Mg (0.2268, 0.0000, 0.1312) [4 per cell]  8 Pr 3.39-3.49, 2 Mg 3.64
Cd (0.0000, 0.5000, 0.5000) [2 per cell]  12 Pr 3.41-3.76

2.
Zn2InSnF | PBE | optimized geometry

Results
- Raw formation energy: -0.262 eV/atom

Cell: 4.7479 4.7479 4.7962 Å, 90.00 90.00 90.00°
With the nearest neighbours (Å) after each atom.
Space group P4/mmm (No. 123)
Inequivalent atoms, fractional coordinates:
Zn (0.0000, 0.5000, 0.0000) [2 per cell]  2 F 2.37
In (0.0000, 0.0000, 0.5000) [1 per cell]  4 Sn 3.36, 8 Zn 3.37
Sn (0.5000, 0.5000, 0.5000) [1 per cell]  2 F 2.40
F (0.5000, 0.5000, 0.0000) [1 per cell]  4 Zn 2.37, 2 Sn 2.40